No. 1
Density functional theory data (PBE) for an optimized crystal structure of AcNdThAl.

Unit cell a=5.6139 b=5.6139 c=5.6139 alpha=60.00 beta=60.00 gamma=60.00
Last column: nearest neighbours and their distance in Å.
Fractional coordinates of all 4 atoms:
Ac (0.7500, 0.7500, 0.7500)  4 Nd 3.44, 4 Th 3.44
Nd (0.5000, 0.5000, 0.5000)  4 Ac 3.44, 4 Al 3.44
Al (0.2500, 0.2500, 0.2500)  4 Nd 3.44, 4 Th 3.44
Th (0.0000, 0.0000, 0.0000)  4 Al 3.44, 4 Ac 3.44

Results
* magnetization: 0.00 μB per atom

---

No. 2
Density functional theory data (PBE) for an optimized crystal structure of KZr2Mo.

Unit cell a=3.5869 b=3.5869 c=8.8626 alpha=90.00 beta=90.00 gamma=90.00
Last column: nearest neighbours and their distance in Å.
Fractional coordinates of all 4 atoms:
K (0.0000, 0.0000, 0.5308)  4 K 3.59, 4 Mo 3.77, 1 Zr 3.87
Mo (0.5000, 0.5000, 0.8452)  5 Zr 2.76
Zr (0.0000, 0.0000, 0.9671)  4 Mo 2.76, 4 Zr 3.04
Zr (0.5000, 0.5000, 0.1569)  1 Mo 2.76, 4 Zr 3.04

Results
* E above lowest polymorph: 332 meV/atom
* magnetization: 0.00 μB per atom

---

No. 3
Density functional theory data (PBE) for an optimized crystal structure of SmTm2Ta.

Unit cell a=3.2563 b=3.2563 c=11.8420 alpha=82.10 beta=82.10 gamma=60.00
Last column: nearest neighbours and their distance in Å.
Fractional coordinates of all 4 atoms:
Tm (0.0831, 0.0831, 0.7507)  1 Ta 2.91, 6 Tm 3.26
Tm (0.9169, 0.9169, 0.2493)  1 Ta 2.91, 6 Tm 3.26
Sm (0.5000, 0.5000, 0.5000)  6 Sm 3.26, 6 Tm 3.48
Ta (0.0000, 0.0000, 0.0000)  2 Tm 2.91, 6 Ta 3.26

Results
* magnetization: 0.08 μB per atom

---

Number 1: energy of formation from the pure elements 0.11 eV per atom. Number 2: energy of formation from the pure elements 0.62 eV per atom. Number 3: energy of formation from the pure elements 0.59 eV per atom.